Here is a relaxed Sm3Dy3Th4 crystal from Alexandria via LeMat-Bulk. Energies are from PBE-GGA.

POSCAR file:
```
Sm3Dy3Th4
1.0
4.013 0.000 0.000
0.000 6.456 6.484
0.000 -6.456 6.484
Sm Dy Th
3 3 4
direct
0.000 0.000 0.000 Sm
0.000 0.500 0.827 Sm
0.000 0.827 0.500 Sm
0.000 0.326 0.326 Dy
0.500 0.164 0.661 Dy
0.500 0.661 0.164 Dy
0.500 0.030 0.296 Th
0.500 0.296 0.030 Th
0.500 0.530 0.530 Th
0.500 0.797 0.797 Th
```

Calculated values
- V (A^3/atom) = 33.597
- E_tot (Ry per atom) = -0.4066
- calculated formation energy (eV/atom) = 0.2324